## LaWBr (PBE)

Data for a relaxed LaWBr crystal.

Properties
**Formation energy (no corrections)**: 1149 meV/atom
**Energy above the lowest structure with this stoichiometry**: 0.595 eV/atom
**Magnetization**: 4.0 μB/f.u.

Structure (CIF):
```
data_LaWBr
_space_group_name_H-M_alt 'P 1'
_space_group_IT_number 1
_cell_length_a 5.1733
_cell_length_b 5.1733
_cell_length_c 5.1733
_cell_angle_alpha 60.00
_cell_angle_beta 60.00
_cell_angle_gamma 60.00
loop_
_space_group_symop_operation_xyz
'x,y,z'
loop_
_atom_site_label
_atom_site_type_symbol
_atom_site_fract_x
_atom_site_fract_y
_atom_site_fract_z
_atom_site_occupancy
W1 W 0.0000 0.0000 0.0000 1
La1 La 0.7500 0.7500 0.7500 1
Br1 Br 0.5000 0.5000 0.5000 1
```